Record 1
The following is a GGA-PBE calculation of a relaxed AgPbSN2 crystal, from the Alexandria database.

Structure (CIF):
```
data_AgPbSN2
_cell_length_a 4.438
_cell_length_b 4.438
_cell_length_c 5.472
_cell_angle_alpha 90.00
_cell_angle_beta 90.00
_cell_angle_gamma 90.00
_space_group_name_H-M_alt 'P 4/m m m'
_space_group_IT_number 123
_space_group_name_Hall '-P 4 2'
loop_
_atom_site_label
_atom_site_type_symbol
_atom_site_fract_x
_atom_site_fract_y
_atom_site_fract_z
Ag1 Ag 0.000 0.000 0.000
Pb1 Pb 0.500 0.500 0.500
S1 S 0.500 0.500 0.000
N1 N 0.000 0.500 0.500
```

VASP energy	-19.0	eV/cell
E above lowest polymorph	1.05	eV per formula unit
ΔE_f (raw)	1664	meV per atom
magnetic moment	0.658	μB/atom
calculated volume	107.78	Å³ per cell

Record 2
The following is a GGA-PBE calculation of a relaxed AgPbSN2 crystal, from the Alexandria database.

Structure (CIF):
```
data_AgPbSN2
_cell_length_a 4.279
_cell_length_b 4.279
_cell_length_c 5.235
_cell_angle_alpha 90.00
_cell_angle_beta 90.00
_cell_angle_gamma 90.00
_space_group_name_H-M_alt 'P 4/m m m'
_space_group_IT_number 123
_space_group_name_Hall '-P 4 2'
loop_
_atom_site_label
_atom_site_type_symbol
_atom_site_fract_x
_atom_site_fract_y
_atom_site_fract_z
Ag1 Ag 0.000 0.000 0.000
Pb1 Pb 0.500 0.500 0.500
S1 S 0.000 0.000 0.500
N1 N 0.000 0.500 0.000
```

VASP energy	-20.1	eV/cell
E above lowest polymorph	0.00	eV per formula unit
ΔE_f (raw)	1453	meV per atom
magnetic moment	0.674	μB/atom
calculated volume	95.84	Å³ per cell

Q: The lowest magnetic moment belongs to which entry?
A: number 1

Q: Which formula does entry 2 have?
A: AgPbSN2

Q: Which value of ΔE_f (raw) does entry 1 give?
A: 1664 meV per atom